A relaxed KSr3La crystal. Source: the Alexandria database, functional PBE-GGA.

## Properties
Crystal system: cubic
E above lowest polymorph in meV/atom: 183.5
DFT formation energy in eV per atom: 0.75

CIF file:
```
data_KSr3La
_chemical_formula_sum 'K1 Sr3 La1'
_symmetry_space_group_name_H-M 'P m -3 m'
_symmetry_Int_Tables_number 221
_symmetry_space_group_name_Hall '-P 4 2 3'
_cell_length_a 6.505
_cell_length_b 6.505
_cell_length_c 6.505
_cell_angle_alpha 90.00
_cell_angle_beta 90.00
_cell_angle_gamma 90.00
loop_
_atom_site_label
_atom_site_fract_x
_atom_site_fract_y
_atom_site_fract_z
_atom_site_occupancy
K1 0.000 0.000 0.000 1
Sr1 0.000 0.000 0.500 1
La1 0.500 0.500 0.500 1
```